1.
Here is Ho2SiSO4 after structural relaxation from Alexandria via LeMat-Bulk. Energies are from PBE.

CIF file:
```
data_Ho2SiSO4
_chemical_formula_sum 'Ho8 Si4 S4 O16'
_cell_length_a 6.117
_cell_length_b 6.922
_cell_length_c 10.694
_cell_angle_alpha 90.00
_cell_angle_beta 90.00
_cell_angle_gamma 90.00
_symmetry_space_group_name_H-M 'P b c m'
_symmetry_Int_Tables_number 57
_symmetry_space_group_name_Hall '-P 2c 2b'
loop_
_atom_site_label
_atom_site_type_symbol
_atom_site_fract_x
_atom_site_fract_y
_atom_site_fract_z
Ho1 Ho 0.116 0.250 0.000
Ho2 Ho 0.344 0.528 0.250
Si1 Si 0.378 0.750 0.000
S1 S 0.022 0.689 0.750
O1 O 0.215 0.566 0.029
O2 O 0.461 0.238 0.623
```

Properties
E_form (uncorrected)	-3.046	eV per atom
total magnetic moment	0.0	μB per cell

***

2.
Here is Sc2CrReCl after structural relaxation from Alexandria via LeMat-Bulk. Energies are from PBE.

CIF file:
```
data_Sc2CrReCl
_chemical_formula_sum 'Sc2 Cr1 Re1 Cl1'
_cell_length_a 5.148
_cell_length_b 5.148
_cell_length_c 4.279
_cell_angle_alpha 90.00
_cell_angle_beta 90.00
_cell_angle_gamma 90.00
_symmetry_space_group_name_H-M 'P 4/m m m'
_symmetry_Int_Tables_number 123
_symmetry_space_group_name_Hall '-P 4 2'
loop_
_atom_site_label
_atom_site_type_symbol
_atom_site_fract_x
_atom_site_fract_y
_atom_site_fract_z
Sc1 Sc 0.000 0.500 0.000
Cr1 Cr 0.000 0.000 0.000
Re1 Re 0.000 0.000 0.500
Cl1 Cl 0.500 0.500 0.500
```

Properties
E_form (uncorrected)	0.582	eV per atom
total magnetic moment	0.2	μB per cell

***

3.
Here is Li2GdSb after structural relaxation from Alexandria via LeMat-Bulk. Energies are from PBE.

CIF file:
```
data_Li2GdSb
_chemical_formula_sum 'Li2 Gd1 Sb1'
_cell_length_a 4.397
_cell_length_b 4.397
_cell_length_c 4.861
_cell_angle_alpha 90.00
_cell_angle_beta 90.00
_cell_angle_gamma 90.00
_symmetry_space_group_name_H-M 'P 4/m m m'
_symmetry_Int_Tables_number 123
_symmetry_space_group_name_Hall '-P 4 2'
loop_
_atom_site_label
_atom_site_type_symbol
_atom_site_fract_x
_atom_site_fract_y
_atom_site_fract_z
Li1 Li 0.000 0.500 0.000
Gd1 Gd 0.000 0.000 0.500
Sb1 Sb 0.500 0.500 0.500
```

Properties
E_form (uncorrected)	-0.537	eV per atom
total magnetic moment	7.1	μB per cell

***

4.
Here is Mg5In2AgHg2 after structural relaxation from Alexandria via LeMat-Bulk. Energies are from PBE.

CIF file:
```
data_Mg5In2AgHg2
_chemical_formula_sum 'Mg10 In4 Ag2 Hg4'
_cell_length_a 11.940
_cell_length_b 11.940
_cell_length_c 3.228
_cell_angle_alpha 90.00
_cell_angle_beta 90.00
_cell_angle_gamma 90.00
_symmetry_space_group_name_H-M 'P 4/m b m'
_symmetry_Int_Tables_number 127
_symmetry_space_group_name_Hall '-P 4 2ab'
loop_
_atom_site_label
_atom_site_type_symbol
_atom_site_fract_x
_atom_site_fract_y
_atom_site_fract_z
Mg1 Mg 0.000 0.500 0.000
Mg2 Mg 0.021 0.195 0.000
In1 In 0.177 0.677 0.500
Ag1 Ag 0.000 0.000 0.500
Hg1 Hg 0.142 0.358 0.500
```

Properties
total magnetic moment	0.0	μB per cell
formation energy from the elements	-0.1001	eV/atom

***

5.
Here is Er2TmF8 after structural relaxation from Alexandria via LeMat-Bulk. Energies are from PBE.

CIF file:
```
data_Er2TmF8
_chemical_formula_sum 'Er4 Tm2 F16'
_cell_length_a 6.906
_cell_length_b 10.246
_cell_length_c 4.232
_cell_angle_alpha 90.00
_cell_angle_beta 104.47
_cell_angle_gamma 90.00
_symmetry_space_group_name_H-M 'C 1 2/m 1'
_symmetry_Int_Tables_number 12
_symmetry_space_group_name_Hall '-C 2y'
loop_
_atom_site_label
_atom_site_type_symbol
_atom_site_fract_x
_atom_site_fract_y
_atom_site_fract_z
Er1 Er 0.000 0.187 0.000
Tm1 Tm 0.000 0.500 0.500
F1 F 0.000 0.281 0.500
F2 F 0.148 0.000 0.288
F3 F 0.214 0.354 0.131
```

Properties
E_form (uncorrected)	-3.790	eV per atom
total magnetic moment	0.0	μB per cell

***

6.
Here is TlIrPdO6 after structural relaxation from Alexandria via LeMat-Bulk. Energies are from PBE.

CIF file:
```
data_TlIrPdO6
_chemical_formula_sum 'Tl2 Ir2 Pd2 O12'
_cell_length_a 5.3060
_cell_length_b 5.3060
_cell_length_c 9.6659
_cell_angle_alpha 90.00
_cell_angle_beta 90.00
_cell_angle_gamma 120.00
_symmetry_space_group_name_H-M 'P -3 1 c'
_symmetry_Int_Tables_number 163
_symmetry_space_group_name_Hall '-P 3 2c'
loop_
_atom_site_label
_atom_site_type_symbol
_atom_site_fract_x
_atom_site_fract_y
_atom_site_fract_z
Tl1 Tl 0.0000 0.0000 0.0000
Ir1 Ir 0.3333 0.6667 0.2500
Pd1 Pd 0.3333 0.6667 0.7500
O1 O 0.0086 0.3742 0.1384
```

Properties
E_form (uncorrected)	-0.536	eV per atom
total magnetic moment	4.0	μB per cell

***

7.
Here is CoReW3 after structural relaxation from Alexandria via LeMat-Bulk. Energies are from PBE.

CIF file:
```
data_CoReW3
_chemical_formula_sum 'Co1 Re1 W3'
_cell_length_a 4.709
_cell_length_b 4.709
_cell_length_c 4.709
_cell_angle_alpha 90.00
_cell_angle_beta 90.00
_cell_angle_gamma 90.00
_symmetry_space_group_name_H-M 'P m -3 m'
_symmetry_Int_Tables_number 221
_symmetry_space_group_name_Hall '-P 4 2 3'
loop_
_atom_site_label
_atom_site_type_symbol
_atom_site_fract_x
_atom_site_fract_y
_atom_site_fract_z
Co1 Co 0.000 0.000 0.000
Re1 Re 0.500 0.500 0.500
W1 W 0.000 0.500 0.500
```

Properties
total magnetic moment	0.0	μB per cell
formation energy from the elements	2.3570	eV/atom

***

8.
Here is Na6SnAu after structural relaxation from Alexandria via LeMat-Bulk. Energies are from PBE.

CIF file:
```
data_Na6SnAu
_chemical_formula_sum 'Na6 Sn1 Au1'
_cell_length_a 4.848
_cell_length_b 4.848
_cell_length_c 9.243
_cell_angle_alpha 90.00
_cell_angle_beta 90.00
_cell_angle_gamma 90.00
_symmetry_space_group_name_H-M 'P 4/m m m'
_symmetry_Int_Tables_number 123
_symmetry_space_group_name_Hall '-P 4 2'
loop_
_atom_site_label
_atom_site_type_symbol
_atom_site_fract_x
_atom_site_fract_y
_atom_site_fract_z
Na1 Na 0.000 0.000 0.000
Na2 Na 0.000 0.000 0.500
Na3 Na 0.000 0.500 0.240
Sn1 Sn 0.500 0.500 0.500
Au1 Au 0.500 0.500 0.000
```

Properties
total magnetic moment	0.0	μB per cell
formation energy from the elements	-0.1307	eV/atom

***

9.
Here is Tm2AgPb2 after structural relaxation from Alexandria via LeMat-Bulk. Energies are from PBE.

CIF file:
```
data_Tm2AgPb2
_chemical_formula_sum 'Tm4 Ag2 Pb4'
_cell_length_a 6.385
_cell_length_b 4.919
_cell_length_c 9.575
_cell_angle_alpha 90.00
_cell_angle_beta 108.85
_cell_angle_gamma 90.00
_symmetry_space_group_name_H-M 'P 1 21/m 1'
_symmetry_Int_Tables_number 11
_symmetry_space_group_name_Hall '-P 2yb'
loop_
_atom_site_label
_atom_site_type_symbol
_atom_site_fract_x
_atom_site_fract_y
_atom_site_fract_z
Tm1 Tm 0.058 0.250 0.168
Tm2 Tm 0.314 0.250 0.591
Ag1 Ag 0.216 0.250 0.891
Pb1 Pb 0.178 0.750 0.382
Pb2 Pb 0.450 0.750 0.827
```

Properties
total magnetic moment	0.0	μB per cell
formation energy from the elements	-0.1948	eV/atom

***

10.
Here is GaRe3B after structural relaxation from Alexandria via LeMat-Bulk. Energies are from PBE.

CIF file:
```
data_GaRe3B
_chemical_formula_sum 'Ga1 Re3 B1'
_cell_length_a 4.129
_cell_length_b 4.129
_cell_length_c 4.129
_cell_angle_alpha 90.00
_cell_angle_beta 90.00
_cell_angle_gamma 90.00
_symmetry_space_group_name_H-M 'P m -3 m'
_symmetry_Int_Tables_number 221
_symmetry_space_group_name_Hall '-P 4 2 3'
loop_
_atom_site_label
_atom_site_type_symbol
_atom_site_fract_x
_atom_site_fract_y
_atom_site_fract_z
Ga1 Ga 0.000 0.000 0.000
Re1 Re 0.000 0.500 0.500
B1 B 0.500 0.500 0.500
```

Properties
total magnetic moment	0.0	μB per cell
formation energy from the elements	0.3843	eV/atom

***

11.
Here is TbPaHgPb after structural relaxation from Alexandria via LeMat-Bulk. Energies are from PBE.

CIF file:
```
data_TbPaHgPb
_chemical_formula_sum 'Tb4 Pa4 Hg4 Pb4'
_cell_length_a 7.579
_cell_length_b 7.579
_cell_length_c 7.579
_cell_angle_alpha 90.00
_cell_angle_beta 90.00
_cell_angle_gamma 90.00
_symmetry_space_group_name_H-M 'F -4 3 m'
_symmetry_Int_Tables_number 216
_symmetry_space_group_name_Hall 'F -4 2 3'
loop_
_atom_site_label
_atom_site_type_symbol
_atom_site_fract_x
_atom_site_fract_y
_atom_site_fract_z
Tb1 Tb 0.000 0.000 0.000
Pa1 Pa 0.000 0.000 0.500
Hg1 Hg 0.250 0.250 0.250
Pb1 Pb 0.250 0.250 0.750
```

Properties
total magnetic moment	6.5	μB per cell
formation energy from the elements	-0.0577	eV/atom

***

> What is the total magnetic moment in the fourth record?

0.0 μB per cell

***

> What is the total magnetic moment in the tenth record?

0.0 μB per cell

***

> Which formula does entry 5 have?

Er2TmF8